Material: Sm2EuMg
Method: DFT, PBE-GGA
State: optimized geometry

Calculated values
The calculation puts the formation enthalpy at 0 K at 57.9 meV/atom. Its space-group type is P4/mmm, No. 123. The calculation puts the total moment at 7.2 μB per formula unit.

abc: 5.571 5.571 4.148
angles: 90.00 90.00 90.00
Fractional coordinates of all 4 atoms:
Sm1 0.000 0.500 0.000
Sm2 0.500 0.000 0.000
Eu1 0.000 0.000 0.500
Mg1 0.500 0.500 0.500